Density functional theory data (PBE) for a relaxed BaLaBr5 crystal.

Lattice parameters (Å, degrees): 8.244 4.677 14.167 90.00 90.12 90.00
Space group P2_1/m (No. 11)
Unique sites:
Ba 0.065 0.250 0.347
La 0.430 0.750 0.148
Br 0.072 0.750 0.167
Br 0.160 0.250 0.571
Br 0.319 0.250 0.018
Br 0.364 0.750 0.795
Br 0.367 0.750 0.352

Results
ρ ... 4.1 Mg/m³
ΔE to the lowest computed polymorph ... 0.028 eV/atom
E_form (uncorrected) ... -196.8 kJ/mol of atoms
Fermi-level density of states ... 0.000 states/eV/f.u.